Record 1
Below is a relaxed SiTeP2 crystal, with properties calculated at the PBE-GGA level.

a = 9.9781 Å, b = 3.2765 Å, c = 6.0666 Å
α = 90.00°, β = 105.40°, γ = 90.00°
With the nearest neighbours (Å) after each atom.
Space group C2/m (No. 12)
One atom of each set of equivalent atoms:
1 Si 0.0000 0.0000 0.0000  4 P 2.36
2 Te 0.0000 0.5000 0.5000  2 P 2.75
3 P 0.1587 0.5000 0.9454  2 Si 2.36, 2 P 2.41

Values from the calculation:
volume: 23.90 A^3/atom
raw formation energy: 1.4 eV/f.u.



Record 2
Below is a relaxed SiTe2P crystal, with properties calculated at the PBE-GGA level.

a = 4.0665 Å, b = 4.0507 Å, c = 5.7495 Å
α = 90.00°, β = 90.61°, γ = 90.00°
With the nearest neighbours (Å) after each atom.
Space group P2/m (No. 10)
One atom of each set of equivalent atoms:
1 Si 0.0000 0.0000 0.0000  6 Te 2.87
2 Te 0.0000 0.0000 0.5000  4 P 2.87, 2 Si 2.87
3 Te 0.5000 0.5000 0.0000  4 Si 2.87, 2 P 2.87
4 P 0.5000 0.5000 0.5000  6 Te 2.87

Values from the calculation:
volume: 23.67 A^3/atom
raw formation energy: 1.1 eV/f.u.



Record 3
Below is a relaxed SiTe2P crystal, with properties calculated at the PBE-GGA level.

a = 3.4134 Å, b = 3.4134 Å, c = 8.5131 Å
α = 90.00°, β = 90.00°, γ = 90.00°
With the nearest neighbours (Å) after each atom.
Space group P4mm (No. 99)
One atom of each set of equivalent atoms:
1 Si 0.0000 0.0000 0.0000  4 P 2.45, 1 Te 2.56
2 Te 0.0000 0.0000 0.6995  1 Si 2.56
3 Te 0.5000 0.5000 0.3393  1 P 2.48
4 P 0.5000 0.5000 0.0475  4 Si 2.45, 1 Te 2.48

Values from the calculation:
volume: 24.80 A^3/atom
raw formation energy: 0.3 eV/f.u.



Record 4
Below is a relaxed SiTeP4 crystal, with properties calculated at the PBE-GGA level.

a = 8.2086 Å, b = 8.2086 Å, c = 8.2086 Å
α = 90.00°, β = 90.00°, γ = 90.00°
With the nearest neighbours (Å) after each atom.
Space group F-43m (No. 216)
One atom of each set of equivalent atoms:
1 Si 0.0000 0.0000 0.0000  12 P 3.36, 4 Te 3.55
2 Te 0.2500 0.2500 0.7500  12 P 3.50, 4 Si 3.55
3 P 0.1541 0.1541 0.3459  3 P 2.23

Values from the calculation:
volume: 23.05 A^3/atom
raw formation energy: 4.5 eV/f.u.



Record 5
Below is a relaxed SiTeP2 crystal, with properties calculated at the PBE-GGA level.

a = 6.4450 Å, b = 6.4450 Å, c = 8.6187 Å
α = 90.00°, β = 90.00°, γ = 90.00°
With the nearest neighbours (Å) after each atom.
Space group I-42d (No. 122)
One atom of each set of equivalent atoms:
1 Si 0.0000 0.0000 0.0000  4 P 2.28
2 Te 0.0000 0.0000 0.5000  4 P 2.79
3 P 0.1877 0.2500 0.1250  2 Si 2.28

Values from the calculation:
volume: 22.38 A^3/atom
raw formation energy: 1.1 eV/f.u.



Record 6
Below is a relaxed SiTe2P crystal, with properties calculated at the PBE-GGA level.

a = 11.8231 Å, b = 4.0585 Å, c = 4.0751 Å
α = 90.00°, β = 105.42°, γ = 90.00°
With the nearest neighbours (Å) after each atom.
Space group Cm (No. 8)
One atom of each set of equivalent atoms:
1 Si 0.0000 0.0000 0.0000  1 P 2.39
2 Te 0.0284 0.5000 0.5608  4 Si 2.78-3.01, 1 P 3.00, 1 Te 3.07
3 Te 0.2596 0.0000 0.2935  4 P 2.83-2.97, 1 Si 2.98, 1 Te 3.07
4 P 0.2903 0.5000 0.8424  1 Si 2.39

Values from the calculation:
volume: 23.56 A^3/atom
raw formation energy: 1.0 eV/f.u.



Record 7
Below is a relaxed SiTeP2 crystal, with properties calculated at the PBE-GGA level.

a = 3.3668 Å, b = 4.9499 Å, c = 9.7154 Å
α = 90.00°, β = 90.00°, γ = 90.00°
With the nearest neighbours (Å) after each atom.
Space group Immm (No. 71)
One atom of each set of equivalent atoms:
1 Si 0.0000 0.0000 0.0000  4 P 2.37
2 Te 0.0000 0.0000 0.5000  4 P 2.98, 4 Si 2.99
3 P 0.0000 0.5000 0.3285  2 Si 2.37

Values from the calculation:
volume: 20.24 A^3/atom
raw formation energy: 2.2 eV/f.u.



Record 8
Below is a relaxed SiTeP2 crystal, with properties calculated at the PBE-GGA level.

a = 11.4294 Å, b = 3.6868 Å, c = 4.2847 Å
α = 90.00°, β = 91.50°, γ = 90.00°
With the nearest neighbours (Å) after each atom.
Space group Cm (No. 8)
One atom of each set of equivalent atoms:
1 Si 0.0000 0.0000 0.0000  2 P 2.38
2 Te 0.2305 0.0000 0.8600  2 P 2.65, 1 Si 2.72
3 P 0.9997 0.5000 0.3530  1 P 2.17, 2 Si 2.38
4 P 0.1887 0.5000 0.4255  1 P 2.17

Values from the calculation:
volume: 22.56 A^3/atom
raw formation energy: 0.9 eV/f.u.



Record 9
Below is a relaxed Si4TeP crystal, with properties calculated at the PBE-GGA level.

a = 7.4543 Å, b = 7.4543 Å, c = 7.4543 Å
α = 90.00°, β = 90.00°, γ = 90.00°
With the nearest neighbours (Å) after each atom.
Space group F-43m (No. 216)
One atom of each set of equivalent atoms:
1 Si 0.1239 0.1239 0.3761  6 Si 2.61-2.66
2 Te 0.0000 0.0000 0.0000  12 Si 3.09, 4 P 3.23
3 P 0.2500 0.2500 0.7500  12 Si 3.09, 4 Te 3.23

Values from the calculation:
volume: 17.26 A^3/atom
raw formation energy: 4.4 eV/f.u.



Record 10
Below is a relaxed SiTeP2 crystal, with properties calculated at the PBE-GGA level.

a = 4.3994 Å, b = 3.5566 Å, c = 5.4219 Å
α = 90.00°, β = 110.35°, γ = 90.00°
With the nearest neighbours (Å) after each atom.
Space group P2/m (No. 10)
One atom of each set of equivalent atoms:
1 Si 0.0000 0.0000 0.0000  4 P 2.43
2 Te 0.5000 0.0000 0.5000  2 Si 2.84, 4 P 3.01
3 P 0.2612 0.5000 0.8414  1 P 2.20, 2 Si 2.43

Values from the calculation:
volume: 19.88 A^3/atom
raw formation energy: 0.7 eV/f.u.



Record 11
Below is a relaxed SiTe2P crystal, with properties calculated at the PBE-GGA level.

a = 7.2122 Å, b = 7.2122 Å, c = 8.2967 Å
α = 90.00°, β = 90.00°, γ = 90.00°
With the nearest neighbours (Å) after each atom.
Space group I-42d (No. 122)
One atom of each set of equivalent atoms:
1 Si 0.0000 0.0000 0.0000  4 Te 2.74
2 Te 0.2474 0.2500 0.1250  2 Si 2.74, 2 P 2.77
3 P 0.0000 0.0000 0.5000  4 Te 2.77

Values from the calculation:
volume: 26.97 A^3/atom
raw formation energy: 2.0 eV/f.u.



Record 12
Below is a relaxed SiTeP2 crystal, with properties calculated at the PBE-GGA level.

a = 3.1250 Å, b = 3.1250 Å, c = 8.6306 Å
α = 90.00°, β = 90.00°, γ = 90.00°
With the nearest neighbours (Å) after each atom.
Space group P4mm (No. 99)
One atom of each set of equivalent atoms:
1 Si 0.0000 0.0000 0.0000  5 P 2.52-2.70
2 Te 0.5000 0.5000 0.3074  4 Te 3.13, 4 Si 3.45
3 P 0.0000 0.0000 0.7081  4 P 2.41, 1 Si 2.52
4 P 0.5000 0.5000 0.8197  4 P 2.41

Values from the calculation:
volume: 21.07 A^3/atom
raw formation energy: 1.7 eV/f.u.



Across the entries above, calculated density takes the values 3.8 5.5 5.3 3.4 4.0 5.5 4.5 4.0 4.3 4.5 4.8 4.3 Mg/m³, respectively.